# Ru3WF

A relaxed Ru3WF crystal (GGA+U, the Alexandria database).

Its energy relative to the lowest polymorph listed for this composition is 780 meV/atom. Its calculated volume is 22.03 Å³/atom. The value obtained for the total magnetization is 3.99 μB/f.u.

Cell: 4.7939 4.7939 4.7939 Å, 90.00 90.00 90.00°
Closest atoms and distances in Å follow each position.
Atoms (fractional coordinates):
Ru 0.0000 0.5000 0.0000  2 W 2.40
W 0.0000 0.0000 0.0000  6 Ru 2.40
F 0.5000 0.5000 0.5000  12 Ru 3.39
Ru 0.5000 0.0000 0.0000  2 W 2.40
Ru 0.0000 0.0000 0.5000  2 W 2.40